This record from Alexandria describes ScTlCu after structural relaxation. The functional is GGA-PBEsol.

```
3
Lattice="4.489 0.000 0.000 -2.244 3.887 0.000 0.000 0.000 3.235" Properties=species:S:1:pos:R:3 pbc="T T T"
Sc 0.000 0.000 0.000
Tl 0.000 2.591 1.618
Cu 2.244 1.296 1.618
```

formation energy	-206	meV per atom
symmetry	No. 187
spin magnetization	0.01	μB per formula unit
energy	-14.187	eV for the cell shown